Entry 1:
! Ta2FeW (PBE, optimized geometry); values from VASP
&SYSTEM
  ibrav = 0, nat = 4, ntyp = 3
/
ATOMIC_SPECIES
Ta 180.95 Ta.upf
Fe 55.84 Fe.upf
W 183.84 W.upf
CELL_PARAMETERS angstrom
4.4640 0.0000 0.0000
0.0000 4.4640 0.0000
0.0000 0.0000 3.1865
ATOMIC_POSITIONS crystal
Ta 0.0000 0.5000 0.0000
Ta 0.5000 0.0000 0.0000
Fe 0.0000 0.0000 0.5000
W 0.5000 0.5000 0.5000
! DOS at the Fermi energy	3.24	states/eV/f.u.
! energy of formation	-33.2	kJ/mol of formula units
! SG	No. 123

Entry 2:
! La8Tb2Pm (PBE, optimized geometry); values from VASP
&SYSTEM
  ibrav = 0, nat = 11, ntyp = 3
/
ATOMIC_SPECIES
La 138.91 La.upf
Tb 158.93 Tb.upf
Pm 145.00 Pm.upf
CELL_PARAMETERS angstrom
4.6475 -8.4475 0.0000
4.6475 8.4475 0.0000
-3.4560 0.0000 5.0489
ATOMIC_POSITIONS crystal
La 0.0961 0.3359 0.6854
La 0.2054 0.7946 0.0000
La 0.3359 0.0961 0.6854
La 0.4215 0.4215 0.2014
La 0.5785 0.5785 0.7986
La 0.6641 0.9039 0.3146
La 0.7946 0.2054 0.0000
La 0.9039 0.6641 0.3146
Tb 0.3109 0.6891 0.5000
Tb 0.6891 0.3109 0.5000
Pm 0.0000 0.0000 0.0000
! DOS at the Fermi energy	16.33	states/eV/f.u.
! energy of formation	126.7	kJ/mol of formula units
! E above lowest polymorph	1.11	eV per formula unit
! SG	No. 12